Er6NiOs2 | PBE | optimized geometry Values from VASP.

Properties
DOS at the Fermi energy	0.726	states/eV per atom
E_tot	-6.442	eV/atom
size of the total moment	0.00	μB/f.u.
formation enthalpy at 0 K	-0.2625	eV per atom

Quantum ESPRESSO input file:
```
&SYSTEM
  ibrav = 0, nat = 18, ntyp = 3
/
ATOMIC_SPECIES
Er 167.26 Er.upf
Ni 58.69 Ni.upf
Os 190.23 Os.upf
CELL_PARAMETERS angstrom
-6.427 0.312 0.385
-0.236 -7.158 1.854
0.342 2.287 8.875
ATOMIC_POSITIONS crystal
Er 0.847 0.955 0.241
Er 0.835 0.674 0.566
Er 0.845 0.672 0.934
Er 0.655 0.172 0.566
Er 0.665 0.174 0.934
Er 0.653 0.455 0.259
Er 0.153 0.045 0.759
Er 0.165 0.326 0.434
Er 0.155 0.328 0.066
Er 0.345 0.828 0.434
Er 0.335 0.826 0.066
Er 0.347 0.545 0.741
Ni 0.500 0.500 0.000
Ni 0.000 0.000 0.500
Os 0.960 0.379 0.742
Os 0.540 0.879 0.758
Os 0.460 0.121 0.242
Os 0.040 0.621 0.258
```